TaCuRe2: relaxed, PBEsol.

Cell: 2.6857 2.6857 8.5627 Å, 90.00 90.00 107.51°
With the nearest neighbours (Å) after each atom.
Fractional coordinates of all 4 atoms:
Re (0.5000, 0.5000, 0.7550)  6 Re 2.66-2.69, 2 Ta 2.74
Re (0.0000, 0.0000, 0.0045)  2 Cu 2.61, 6 Re 2.66-2.69
Ta (0.0000, 0.0000, 0.4947)  2 Cu 2.66, 4 Ta 2.69, 2 Re 2.74
Cu (0.5000, 0.5000, 0.2459)  2 Re 2.61, 2 Ta 2.66, 4 Cu 2.69

## Properties
The calculation puts the total moment at 0.00 μB per formula unit. The space-group type is No. 35. For the total energy, the calculation gives -10.67 eV/atom. For the formation energy, the calculation gives 0.22 eV per atom.

=====

TaCuRe2: relaxed, PBEsol.

Cell: 3.2010 3.2010 5.6998 Å, 90.00 90.00 90.00°
With the nearest neighbours (Å) after each atom.
Fractional coordinates of all 4 atoms:
Re (0.0000, 0.0000, 0.2747)  1 Re 2.57, 4 Cu 2.60, 4 Ta 2.75
Re (0.0000, 0.0000, 0.7253)  1 Re 2.57, 4 Cu 2.60, 4 Ta 2.75
Ta (0.5000, 0.5000, 0.0000)  8 Re 2.75, 2 Cu 2.85
Cu (0.5000, 0.5000, 0.5000)  8 Re 2.60, 2 Ta 2.85

## Properties
The calculation puts the total moment at 0.00 μB per formula unit. The space-group type is No. 123. For the total energy, the calculation gives -10.74 eV/atom. For the formation energy, the calculation gives 0.15 eV per atom.

=====

TaCuRe2: relaxed, PBEsol.

Cell: 3.2073 3.2073 5.6715 Å, 90.00 90.00 90.00°
With the nearest neighbours (Å) after each atom.
Fractional coordinates of all 4 atoms:
Ta (0.0000, 0.0000, 0.5154)  4 Cu 2.64, 5 Re 2.69-2.75
Re (0.0000, 0.0000, 0.9891)  4 Cu 2.63, 4 Re 2.68, 1 Ta 2.69
Re (0.5000, 0.5000, 0.2411)  4 Re 2.68, 4 Ta 2.75, 2 Cu 2.76-2.91
Cu (0.5000, 0.5000, 0.7544)  6 Re 2.63-2.91, 4 Ta 2.64

## Properties
The calculation puts the total moment at 0.00 μB per formula unit. The space-group type is No. 99. For the total energy, the calculation gives -10.77 eV/atom. For the formation energy, the calculation gives 0.12 eV per atom.

=====

Cu2ReTc: relaxed, PBEsol.

Cell: 3.5879 3.5879 4.7474 Å, 112.20 112.20 90.00°
With the nearest neighbours (Å) after each atom.
Fractional coordinates of all 4 atoms:
Tc (0.5000, 0.5000, 0.0000)  4 Re 2.54, 8 Cu 2.69
Cu (0.7500, 0.2500, 0.5000)  4 Cu 2.54, 4 Tc 2.69, 4 Re 2.69
Cu (0.2500, 0.7500, 0.5000)  4 Cu 2.54, 4 Tc 2.69, 4 Re 2.69
Re (0.0000, 0.0000, 0.0000)  4 Tc 2.54, 8 Cu 2.69

## Properties
The calculation puts the total moment at 0.00 μB per formula unit. The space-group type is No. 139. For the total energy, the calculation gives -8.01 eV/atom. For the formation energy, the calculation gives 0.31 eV per atom.